DFT (PBE-GGA) results for an optimized crystal structure of KAgPb2.

a = 8.2996 Å, b = 8.2996 Å, c = 8.2996 Å
α = 147.60°, β = 153.43°, γ = 42.37°
Last column: nearest neighbours and their distance in Å.
Fractional positions:
Ag1 0.5461 0.5461 0.0000  6 Pb 2.93-3.10
K1 0.2961 0.7961 0.5000  6 Pb 3.63-3.65, 2 K 3.81
Pb1 0.9959 0.9959 0.0000  4 Ag 3.10, 2 Pb 3.20
Pb2 0.6618 0.1618 0.5000  2 Ag 2.93, 2 Pb 3.20

Output
Its crystal system is orthorhombic. The density of states at the Fermi level comes out at 1.74 states/eV per cell. Its energy of formation is 0.007 eV per atom.